[1]
Material: Li7Mg2Tl
Method: DFT, PBE
State: relaxed

Values from the calculation:
energy relative to the lowest polymorph listed for this composition	0.0	meV/atom
Fermi-level density of states	0.36	states/eV per atom
SG	P3m1 (156)
calculated formation energy	-31.3	meV per atom

a = 4.8087 Å, b = 4.8087 Å, c = 9.9606 Å
α = 90.00°, β = 90.00°, γ = 120.00°
Closest atoms and distances in Å follow each position.
Positions (direct):
Li  0.3333  0.6667  0.0614  2 Li 2.29-2.41
Li  0.0000  0.0000  0.2815  3 Li 2.78
Li  0.3333  0.6667  0.3035  1 Li 2.41, 1 Mg 2.61
Li  0.3333  0.6667  0.8317  1 Li 2.29
Li  0.0000  0.0000  0.6452  3 Mg 2.89, 1 Tl 3.13, 3 Li 3.16
Li  0.6667  0.3333  0.1001  4 Li 2.80-3.03, 3 Tl 3.11
Li  0.6667  0.3333  0.7957  4 Li 2.80-3.03
Mg  0.6667  0.3333  0.4387  3 Mg 3.05, 7 Li 3.09-3.37
Mg  0.3333  0.6667  0.5656  5 Li 2.61-2.89
Tl  0.0000  0.0000  0.9599  14 Li 2.95-3.22


[2]
Material: KCa2F
Method: DFT, PBE
State: relaxed

Values from the calculation:
energy relative to the lowest polymorph listed for this composition	201.4	meV/atom
Fermi-level density of states	0.63	states/eV per atom
SG	R-3m (166)
raw formation energy	-4.238	eV per formula unit

a = 3.8589 Å, b = 3.8589 Å, c = 11.0060 Å
α = 79.90°, β = 79.90°, γ = 60.00°
Closest atoms and distances in Å follow each position.
Positions (direct):
Ca  0.8805  0.8805  0.3586  3 F 2.70
Ca  0.1195  0.1195  0.6414  3 F 2.70
K  0.0000  0.0000  0.0000  6 K 3.86, 2 Ca 3.86
F  0.5000  0.5000  0.5000  6 Ca 2.70


[3]
Material: KTb2Ag2Se4
Method: DFT, PBE
State: relaxed

Values from the calculation:
Fermi-level density of states	0.40	states/eV per atom
SG	C2/m (12)
raw formation energy	-9.944	eV per formula unit

a = 3.8937 Å, b = 7.8665 Å, c = 8.3184 Å
α = 115.22°, β = 90.00°, γ = 104.33°
Closest atoms and distances in Å follow each position.
Positions (direct):
Se  0.7825  0.5651  0.7008  2 Ag 2.82, 3 Tb 2.89-3.04, 1 K 3.15
Se  0.4700  0.9400  0.2889  1 Ag 2.77, 2 Tb 3.04
Se  0.2175  0.4349  0.2992  2 Ag 2.82, 3 Tb 2.89-3.04, 1 K 3.15
Se  0.5300  0.0600  0.7111  1 Ag 2.77, 2 Tb 3.04
Tb  0.8728  0.7456  0.4403  7 Se 2.89-3.14
Tb  0.1272  0.2544  0.5597  7 Se 2.89-3.14
Ag  0.6944  0.3889  0.0378  3 Se 2.77-2.82, 2 Ag 2.83
Ag  0.3056  0.6111  0.9622  3 Se 2.77-2.82, 2 Ag 2.83
K  0.0000  0.0000  0.0000  6 Se 3.15-3.28, 4 Ag 3.44


[4]
Material: Nd2GdGa
Method: DFT, PBE
State: relaxed

Values from the calculation:
energy relative to the lowest polymorph listed for this composition	128.7	meV/atom
Fermi-level density of states	1.54	states/eV per atom
SG	Fm-3m (225)
calculated formation energy	-119.5	meV per atom

a = 5.4443 Å, b = 5.4443 Å, c = 5.4443 Å
α = 60.00°, β = 60.00°, γ = 60.00°
Closest atoms and distances in Å follow each position.
Positions (direct):
Gd  0.0000  0.0000  0.0000  8 Nd 3.33
Nd  0.7500  0.7500  0.7500  4 Gd 3.33, 4 Ga 3.33
Nd  0.2500  0.2500  0.2500  4 Ga 3.33, 4 Gd 3.33
Ga  0.5000  0.5000  0.5000  8 Nd 3.33


[5]
Material: Ca2AlAg2
Method: DFT, PBE
State: relaxed

Values from the calculation:
energy relative to the lowest polymorph listed for this composition	226.7	meV/atom
Fermi-level density of states	0.77	states/eV per atom
SG	I4/mmm (139)
calculated formation energy	-103.4	meV per atom

a = 5.8760 Å, b = 5.8760 Å, c = 5.6970 Å
α = 58.95°, β = 58.95°, γ = 90.00°
Closest atoms and distances in Å follow each position.
Positions (direct):
Ag  0.3310  0.3310  0.3380  1 Al 2.58, 1 Ag 2.63
Ag  0.6690  0.6690  0.6620  1 Al 2.58, 1 Ag 2.63
Ca  0.2500  0.7500  0.5000  4 Ag 3.01
Ca  0.7500  0.2500  0.5000  4 Ag 3.01
Al  0.0000  0.0000  0.0000  2 Ag 2.58


[6]
Material: ZnTe3
Method: DFT, PBE
State: relaxed

Values from the calculation:
Fermi-level density of states	0.64	states/eV per atom
SG	R-3m (166)
raw formation energy	0.006	eV per formula unit

a = 7.7604 Å, b = 7.7604 Å, c = 7.7604 Å
α = 31.17°, β = 31.17°, γ = 31.17°
Closest atoms and distances in Å follow each position.
Positions (direct):
Te  0.7377  0.7377  0.7377  3 Zn 2.87, 3 Te 3.21
Te  0.5000  0.5000  0.5000  6 Te 3.21
Te  0.2623  0.2623  0.2623  3 Zn 2.87, 3 Te 3.21
Zn  0.0000  0.0000  0.0000  6 Te 2.87


[7]
Material: KTaMn3
Method: DFT, PBE
State: relaxed

Values from the calculation:
energy relative to the lowest polymorph listed for this composition	0.0	meV/atom
Fermi-level density of states	0.65	states/eV per atom
SG	Pm-3m (221)
calculated formation energy	1198.7	meV per atom

a = 5.0050 Å, b = 5.0050 Å, c = 5.0050 Å
α = 90.00°, β = 90.00°, γ = 90.00°
Closest atoms and distances in Å follow each position.
Positions (direct):
K  0.5000  0.5000  0.5000  12 Mn 3.54
Ta  0.0000  0.0000  0.0000  6 Mn 2.50
Mn  0.5000  0.0000  0.0000  2 Ta 2.50
Mn  0.0000  0.0000  0.5000  2 Ta 2.50
Mn  0.0000  0.5000  0.0000  2 Ta 2.50


[8]
Material: Ba2ZrTcBi
Method: DFT, PBE
State: relaxed

Values from the calculation:
Fermi-level density of states	2.37	states/eV per atom
SG	P4/mmm (123)
calculated formation energy	873.6	meV per atom

a = 5.7916 Å, b = 5.3522 Å, c = 5.7916 Å
α = 90.00°, β = 90.00°, γ = 90.00°
Closest atoms and distances in Å follow each position.
Positions (direct):
Bi  0.0000  0.5000  0.0000  2 Tc 2.68
Tc  0.0000  0.0000  0.0000  2 Bi 2.68, 4 Ba 2.90
Ba  0.0000  0.0000  0.5000  2 Tc 2.90
Ba  0.5000  0.0000  0.0000  2 Tc 2.90
Zr  0.5000  0.5000  0.5000  8 Ba 3.94, 4 Bi 4.10


[9]
Material: CaPSe2
Method: DFT, PBE
State: relaxed

Values from the calculation:
Fermi-level density of states	0.41	states/eV per atom
SG	P4/mmm (123)
raw formation energy	-1.886	eV per formula unit

a = 4.8339 Å, b = 4.8343 Å, c = 3.5888 Å
α = 90.00°, β = 90.00°, γ = 90.00°
Closest atoms and distances in Å follow each position.
Positions (direct):
Se  0.0000  0.0000  0.0000  4 Ca 3.01, 4 P 3.01
Se  0.5000  0.5000  0.0000  4 P 3.01, 4 Ca 3.01
P  0.0000  0.5000  0.5000  8 Se 3.01
Ca  0.5000  0.0000  0.5000  8 Se 3.01


[10]
Material: ScPS2O
Method: DFT, PBE
State: relaxed

Values from the calculation:
energy relative to the lowest polymorph listed for this composition	702.3	meV/atom
Fermi-level density of states	1.20	states/eV per atom
SG	P4/mmm (123)
raw formation energy	2.694	eV per formula unit

a = 4.8398 Å, b = 4.8398 Å, c = 5.1459 Å
α = 90.00°, β = 90.00°, γ = 90.00°
Closest atoms and distances in Å follow each position.
Positions (direct):
P  0.0000  0.0000  0.5000  2 Sc 2.57
O  0.5000  0.5000  0.5000  4 P 3.42, 8 S 3.53
Sc  0.0000  0.0000  0.0000  4 S 2.42, 2 P 2.57
S  0.0000  0.5000  0.0000  2 Sc 2.42
S  0.5000  0.0000  0.0000  2 Sc 2.42


[11]
Material: FeIr2W
Method: DFT, PBE
State: relaxed

Values from the calculation:
energy relative to the lowest polymorph listed for this composition	235.8	meV/atom
Fermi-level density of states	1.26	states/eV per atom
SG	P4mm (99)
calculated formation energy	-0.4	meV per atom

a = 2.7330 Å, b = 2.7330 Å, c = 7.5973 Å
α = 90.00°, β = 90.00°, γ = 90.00°
Closest atoms and distances in Å follow each position.
Positions (direct):
W  0.0000  0.0000  0.5074  4 Fe 2.72, 4 W 2.73, 4 Ir 2.75
Fe  0.5000  0.5000  0.7584  4 Ir 2.58, 4 W 2.72, 4 Fe 2.73
Ir  0.0000  0.0000  0.9836  4 Fe 2.58, 8 Ir 2.73-2.80
Ir  0.5000  0.5000  0.2506  8 Ir 2.73-2.80, 4 W 2.75


Please write out number 10 again, unchanged.
Material: ScPS2O
Method: DFT, PBE
State: relaxed

Values from the calculation:
energy relative to the lowest polymorph listed for this composition	702.3	meV/atom
Fermi-level density of states	1.20	states/eV per atom
SG	P4/mmm (123)
raw formation energy	2.694	eV per formula unit

a = 4.8398 Å, b = 4.8398 Å, c = 5.1459 Å
α = 90.00°, β = 90.00°, γ = 90.00°
Closest atoms and distances in Å follow each position.
Positions (direct):
P  0.0000  0.0000  0.5000  2 Sc 2.57
O  0.5000  0.5000  0.5000  4 P 3.42, 8 S 3.53
Sc  0.0000  0.0000  0.0000  4 S 2.42, 2 P 2.57
S  0.0000  0.5000  0.0000  2 Sc 2.42
S  0.5000  0.0000  0.0000  2 Sc 2.42


> Fermi-level density of states of number 4 (Nd2GdGa)?

1.54 states/eV per atom


> Which of these has the highest Fermi-level density of states?

Ba2ZrTcBi


> Which value of Fermi-level density of states does entry 1 give?

0.36 states/eV per atom